Entry 1:
# ReAg3Au

Crystalline ReAg3Au at its relaxed geometry (PBE, Alexandria).

Cell lengths 5.0851, 5.0851, 5.0851 Å; angles 90.00, 90.00, 90.00 degrees
Closest atoms and distances in Å follow each position.
Sites, in units of the cell vectors:
1 Au 0.0000 0.0000 0.0000  6 Ag 2.54
2 Ag 0.0000 0.5000 0.0000  2 Au 2.54
3 Ag 0.0000 0.0000 0.5000  2 Au 2.54
4 Ag 0.5000 0.0000 0.0000  2 Au 2.54
5 Re 0.5000 0.5000 0.5000  12 Ag 3.60

Computed properties:
Final energy ... -3.17 eV/atom
Calculated formation energy ... 1.69 eV per atom
SG ... Pm-3m
Size of the total moment ... 0.87 μB per atom

=====

Entry 2:
# Re2AgAu

Crystalline Re2AgAu at its relaxed geometry (PBE, Alexandria).

Cell lengths 3.1173, 4.3417, 4.8193 Å; angles 90.00, 90.00, 90.00 degrees
Closest atoms and distances in Å follow each position.
Sites, in units of the cell vectors:
1 Re 0.0000 0.0000 0.0000  4 Re 2.67, 4 Ag 2.87
2 Re 0.5000 0.5000 0.0000  4 Re 2.67, 4 Au 2.87
3 Au 0.0000 0.5000 0.5000  4 Ag 2.67, 4 Re 2.87
4 Ag 0.5000 0.0000 0.5000  4 Au 2.67, 4 Re 2.87

Computed properties:
Final energy ... -7.07 eV/atom
Calculated formation energy ... 0.69 eV per atom
SG ... Pmmm
Size of the total moment ... 0.00 μB per atom

=====

Entry 3:
# Re2AgAu

Crystalline Re2AgAu at its relaxed geometry (PBE, Alexandria).

Cell lengths 5.1923, 5.1923, 5.1923 Å; angles 136.97, 136.97, 62.48 degrees
Closest atoms and distances in Å follow each position.
Sites, in units of the cell vectors:
1 Re 0.0000 0.0000 0.0000  4 Re 2.69, 4 Au 2.92, 4 Ag 2.92
2 Re 0.5000 0.5000 0.0000  4 Re 2.69, 4 Au 2.92, 4 Ag 2.92
3 Au 0.7500 0.2500 0.5000  4 Ag 2.69, 8 Re 2.92
4 Ag 0.2500 0.7500 0.5000  4 Au 2.69, 8 Re 2.92

Computed properties:
Final energy ... -7.06 eV/atom
Calculated formation energy ... 0.70 eV per atom
SG ... I4/mmm
Size of the total moment ... 0.00 μB per atom

=====

Entry 4:
# Re2AgAu

Crystalline Re2AgAu at its relaxed geometry (PBE, Alexandria).

Cell lengths 4.4961, 4.4961, 4.4961 Å; angles 60.00, 60.00, 60.00 degrees
Closest atoms and distances in Å follow each position.
Sites, in units of the cell vectors:
1 Au 0.5000 0.5000 0.5000  8 Re 2.75
2 Re 0.2500 0.2500 0.2500  4 Au 2.75, 4 Ag 2.75
3 Re 0.7500 0.7500 0.7500  4 Au 2.75, 4 Ag 2.75
4 Ag 0.0000 0.0000 0.0000  8 Re 2.75

Computed properties:
Final energy ... -6.70 eV/atom
Calculated formation energy ... 1.05 eV per atom
SG ... Fm-3m
Size of the total moment ... 0.00 μB per atom

=====

Q: What is the calculated formation energy in the third record?
A: 0.70 eV per atom